# BaAs2Ir

A relaxed structure of BaAs2Ir (PBE, Alexandria via LeMat-Bulk).

```
data_BaAs2Ir
_chemical_formula_sum 'Ba1 As2 Ir1'
_space_group_name_H-M_alt 'P 4/m m m'
_space_group_IT_number 123
_space_group_name_Hall '-P 4 2'
_cell_length_a 5.203
_cell_length_b 5.203
_cell_length_c 3.306
_cell_angle_alpha 90.00
_cell_angle_beta 90.00
_cell_angle_gamma 90.00
loop_
_atom_site_label
_atom_site_fract_x
_atom_site_fract_y
_atom_site_fract_z
_atom_site_occupancy
Ba1 0.000 0.000 0.000 1
As1 0.000 0.500 0.500 1
Ir1 0.500 0.500 0.000 1
```

Results
- total magnetization (μB/atom) = 0.00
- uncorrected energy (eV per atom) = -4.664